# 1
# PBE NdYCoIr, relaxed
data_NdYCoIr
_cell_length_a 4.8967
_cell_length_b 4.8967
_cell_length_c 4.8967
_cell_angle_alpha 60.00
_cell_angle_beta 60.00
_cell_angle_gamma 60.00
_symmetry_space_group_name_H-M 'P 1'
_symmetry_Int_Tables_number 1
_symmetry_space_group_name_Hall 'P 1'
loop_
_atom_site_label
_atom_site_fract_x
_atom_site_fract_y
_atom_site_fract_z
Nd1 0.0000 0.0000 0.0000
Y1 0.5000 0.5000 0.5000
Co1 0.2500 0.2500 0.2500
Ir1 0.7500 0.7500 0.7500
# Size of the total moment   0.138 μB/atom
# Calculated formation energy   -0.37 eV/atom
# D(E_F)   0.25 states/eV/atom


# 2
# PBE Co2NiIr, relaxed
data_Co2NiIr
_cell_length_a 2.5770
_cell_length_b 2.5770
_cell_length_c 8.4575
_cell_angle_alpha 90.00
_cell_angle_beta 90.00
_cell_angle_gamma 116.80
_symmetry_space_group_name_H-M 'P 1'
_symmetry_Int_Tables_number 1
_symmetry_space_group_name_Hall 'P 1'
loop_
_atom_site_label
_atom_site_fract_x
_atom_site_fract_y
_atom_site_fract_z
Co1 0.0000 0.0000 0.2391
Co2 0.0000 0.0000 0.7609
Ni1 0.5000 0.5000 0.0000
Ir1 0.5000 0.5000 0.5000
# Size of the total moment   1.296 μB/atom
# Calculated formation energy   0.24 eV/atom
# D(E_F)   1.45 states/eV/atom


Q: What is the D(E_F) in the first record?
A: 0.25 states/eV/atom


Q: Among the records above, which one has the highest calculated formation energy?
A: Co2NiIr


Q: Which value of size of the total moment does entry 1 give?
A: 0.138 μB/atom